# 1
Below is a relaxed structure of Dy2ThMg, with properties calculated at the PBE level.

Properties
SG: Fm-3m
Crystal system: cubic
E_form (eV/atom): 0.171
Energy above the most stable polymorph in this dataset (meV per atom): 215

Cell lengths 5.531, 5.531, 5.531 Å; angles 60.00, 60.00, 60.00 degrees
Positions (direct):
Dy 0.250 0.250 0.250
Dy 0.750 0.750 0.750
Th 0.000 0.000 0.000
Mg 0.500 0.500 0.500

***

# 2
Below is a relaxed structure of DyErSc2, with properties calculated at the PBE level.

Properties
SG: P-3m1
Crystal system: trigonal
E_form (eV/atom): 0.042
Energy above the most stable polymorph in this dataset (meV per atom): 0

Cell lengths 3.412, 3.412, 10.907 Å; angles 90.00, 90.00, 120.00 degrees
Positions (direct):
Dy 0.000 0.000 0.000
Er 0.000 0.000 0.500
Sc 0.333 0.667 0.251
Sc 0.667 0.333 0.749

***

# 3
Below is a relaxed structure of Rb4ErNp3Te8, with properties calculated at the PBE level.

Properties
ΔE_f (raw) (eV per formula unit): -16.0
SG: R-3m
Crystal system: trigonal

Cell lengths 10.028, 10.028, 10.028 Å; angles 54.38, 54.38, 54.38 degrees
Positions (direct):
Rb 0.000 0.000 0.000
Rb 0.000 0.500 0.500
Rb 0.500 0.000 0.500
Rb 0.500 0.500 0.000
Er 0.500 0.500 0.500
Np 0.000 0.000 0.500
Np 0.000 0.500 0.000
Np 0.500 0.000 0.000
Te 0.233 0.233 0.233
Te 0.239 0.730 0.730
Te 0.270 0.270 0.761
Te 0.270 0.761 0.270
Te 0.730 0.239 0.730
Te 0.730 0.730 0.239
Te 0.761 0.270 0.270
Te 0.767 0.767 0.767

***

# 4
Below is a relaxed structure of ThTeO, with properties calculated at the PBE level.

Properties
ΔE_f (raw) (eV per formula unit): -7.6
SG: P-6m2
Crystal system: hexagonal
Energy above the most stable polymorph in this dataset (meV per atom): 94

Cell lengths 4.056, 4.056, 4.770 Å; angles 90.00, 90.00, 120.00 degrees
Positions (direct):
Th 0.000 0.000 0.000
Te 0.333 0.667 0.500
O 0.667 0.333 0.000

***

Uncorrected energy values (in eV/cell) by entry order: -17.54 -21.66 -88.36 -23.10.